PBE BaPbN2, relaxed; D(E_F) = 3.43 states/eV per cell; magnetization = 0.0 μB/f.u.; space-group type = P-1, No. 2; formation energy (no corrections) = -0.287 eV/atom; density = 6.1 g cm⁻³
1.0
-3.7383 -3.0949 0.3689
0.9676 -1.2912 3.8851
-2.5551 7.0745 8.6440
Ba Pb N
2 2 4
direct
0.1522 0.5973 0.8292 Ba
0.8478 0.4027 0.1708 Ba
0.0000 0.5000 0.5000 Pb
0.5000 0.0000 0.5000 Pb
0.7193 0.1031 0.8988 N
0.2807 0.8969 0.1013 N
0.7342 0.2256 0.9747 N
0.2658 0.7744 0.0253 N

PBE Ca2YCuS4, relaxed; D(E_F) = 0.17 states/eV per cell; magnetization = 0.0 μB/f.u.; space-group type = P2/m, No. 10; formation energy (no corrections) = -1.638 eV/atom; density = 3.5 g cm⁻³
1.0
3.9438 0.0000 0.0000
0.0000 6.7831 0.0463
0.0000 -2.4400 6.3949
Ca Y Cu S
2 1 1 4
direct
0.5000 0.0000 0.5000 Ca
0.0000 0.5000 0.5000 Ca
0.5000 0.5000 0.0000 Y
0.0000 0.0000 0.0000 Cu
0.5000 0.2369 0.2280 S
0.5000 0.7631 0.7720 S
0.0000 0.2568 0.7544 S
0.0000 0.7432 0.2456 S

PBE Rb2Ca2Cl5, relaxed; D(E_F) = 1.57 states/eV per cell; magnetization = 0.6 μB/f.u.; space-group type = C2/m, No. 12; formation energy (no corrections) = -1.939 eV/atom; density = 2.2 g cm⁻³
1.0
-3.4508 -2.4098 -3.2586
3.8681 -5.9843 4.6770
-6.1407 3.0371 4.2569
Rb Ca Cl
2 2 5
direct
0.3905 0.7809 0.6722 Rb
0.6095 0.2191 0.3278 Rb
0.1374 0.2749 0.8529 Ca
0.8626 0.7251 0.1471 Ca
0.3273 0.6547 0.0473 Cl
0.6727 0.3453 0.9527 Cl
0.1782 0.3563 0.5687 Cl
0.8218 0.6437 0.4313 Cl
0.0000 0.0000 0.0000 Cl

PBE Li4OsW, relaxed; D(E_F) = 1.19 states/eV per cell; magnetization = 0.0 μB/f.u.; space-group type = F-43m, No. 216; density = 9.2 g cm⁻³; raw total energy = -29.45 eV/f.u.
1.0
0.0000 3.3092 3.3092
3.3092 0.0000 3.3092
3.3092 3.3092 0.0000
Li Os W
4 1 1
direct
0.8696 0.3768 0.3768 Li
0.3768 0.3768 0.8696 Li
0.3768 0.8696 0.3768 Li
0.3768 0.3768 0.3768 Li
0.7500 0.7500 0.7500 Os
0.0000 0.0000 0.0000 W

PBE CsHgPt, relaxed; E above lowest polymorph = 21 meV/atom; D(E_F) = 4.14 states/eV per cell; magnetization = 0.0 μB/f.u.; space-group type = Pnma, No. 62; density = 8.2 g cm⁻³
1.0
-2.2951 3.9767 -0.9501
-5.1436 -3.5650 -2.4963
-5.7399 -0.3632 12.3460
Pt Cs Hg
4 4 4
direct
0.4999 0.8156 0.9557 Pt
0.9999 0.6844 0.0443 Pt
0.5001 0.3156 0.5443 Pt
0.0001 0.1844 0.4557 Pt
0.0009 0.1409 0.1358 Cs
0.5009 0.3591 0.8642 Cs
0.9991 0.6409 0.3642 Cs
0.4991 0.8591 0.6358 Cs
0.9999 0.8930 0.8629 Hg
0.4999 0.6070 0.1371 Hg
0.0001 0.3930 0.6371 Hg
0.5001 0.1070 0.3629 Hg

PBE NbCrGa, relaxed; D(E_F) = 8.90 states/eV per cell; magnetization = 0.0 μB/f.u.; space-group type = Amm2, No. 38; density = 8.0 g cm⁻³; raw total energy = -23.26 eV/f.u.
1.0
5.1201 0.0012 0.0000
-2.6779 4.3639 0.0000
0.0000 0.0000 7.9769
Nb Cr Ga
4 4 4
direct
0.3299 0.6701 0.1837 Nb
0.6651 0.3349 0.3015 Nb
0.6651 0.3349 0.6985 Nb
0.3299 0.6701 0.8163 Nb
0.0117 0.9883 0.2349 Cr
0.0117 0.9883 0.7651 Cr
0.8271 0.6716 0.0000 Cr
0.3284 0.1729 0.0000 Cr
0.8220 0.1780 0.0000 Ga
0.1707 0.3337 0.5000 Ga
0.6663 0.8293 0.5000 Ga
0.1722 0.8278 0.5000 Ga

PBE SrCoW2, relaxed; E above lowest polymorph = 651 meV/atom; D(E_F) = 9.91 states/eV per cell; magnetization = 0.0 μB/f.u.; space-group type = I-42d, No. 122; density = 8.4 g cm⁻³
1.0
4.9599 0.0000 0.0000
0.0000 4.9599 0.0000
2.4800 2.4800 8.2414
Sr Co W
2 2 4
direct
0.0000 0.0000 0.0000 Sr
0.7500 0.2500 0.5000 Sr
0.5000 0.5000 0.0000 Co
0.2500 0.7500 0.5000 Co
0.3773 0.1250 0.2500 W
0.3727 0.6250 0.2500 W
0.3750 0.6227 0.7500 W
0.8750 0.6273 0.7500 W

PBE CdHPb2, relaxed; E above lowest polymorph = 65 meV/atom; D(E_F) = 2.93 states/eV per cell; magnetization = 0.0 μB/f.u.; space-group type = Fm-3m, No. 225; density = 9.5 g cm⁻³
1.0
0.0000 3.5898 3.5898
3.5898 0.0000 3.5898
3.5898 3.5898 0.0000
Pb H Cd
2 1 1
direct
0.2500 0.2500 0.2500 Pb
0.7500 0.7500 0.7500 Pb
0.0000 0.0000 0.0000 H
0.5000 0.5000 0.5000 Cd

PBE La2CoSe, relaxed; D(E_F) = 2.31 states/eV per cell; magnetization = 0.0 μB/f.u.; space-group type = R-3m, No. 166; formation energy (no corrections) = -0.922 eV/atom; density = 6.5 g cm⁻³
1.0
-2.7576 -2.3008 -1.9856
0.9300 -3.8494 -1.0760
-3.1915 -4.4499 5.3624
Co La Se
1 2 1
direct
0.2500 0.2500 0.2500 Co
0.9911 0.9911 0.0274 La
0.5089 0.5089 0.4726 La
0.7500 0.7500 0.7500 Se

PBE PWSe4, relaxed; D(E_F) = 5.56 states/eV per cell; magnetization = 1.5 μB/f.u.; space-group type = F-43m, No. 216; formation energy (no corrections) = 1.430 eV/atom; density = 7.5 g cm⁻³
1.0
0.0000 3.8894 3.8894
3.8894 0.0000 3.8894
3.8894 3.8894 0.0000
P W Se
1 1 4
direct
0.0000 0.0000 0.0000 P
0.7500 0.7500 0.7500 W
0.8717 0.3761 0.3761 Se
0.3761 0.3761 0.8717 Se
0.3761 0.8717 0.3761 Se
0.3761 0.3761 0.3761 Se

PBE Ho3TcGe3, relaxed; D(E_F) = 10.91 states/eV per cell; magnetization = 0.0 μB/f.u.; space-group type = C2/m, No. 12; density = 9.0 g cm⁻³; raw total energy = -43.10 eV/f.u.
1.0
-1.7065 -2.1968 3.1685
3.7151 -0.5034 4.4572
-5.1054 10.0140 6.9986
Ho Tc Ge
6 2 6
direct
0.5216 0.3332 0.6235 Ho
0.4784 0.6668 0.3765 Ho
0.2578 0.2538 0.2305 Ho
0.7422 0.7462 0.7695 Ho
0.3988 0.2818 0.9205 Ho
0.6012 0.7182 0.0795 Ho
0.7590 0.0711 0.4108 Tc
0.2410 0.9289 0.5892 Tc
0.8673 0.7202 0.5453 Ge
0.1327 0.2798 0.4547 Ge
0.1222 0.8296 0.9261 Ge
0.8778 0.1704 0.0739 Ge
0.9562 0.8503 0.2373 Ge
0.0438 0.1497 0.7627 Ge

PBE Cs12Rb6S, relaxed; D(E_F) = 18.17 states/eV per cell; magnetization = 0.0 μB/f.u.; space-group type = R-3, No. 148; formation energy (no corrections) = -0.151 eV/atom; density = 1.9 g cm⁻³
1.0
12.3342 2.3383 0.0989
0.1151 12.5533 0.0989
1.9548 2.3383 12.1787
Cs Rb S
12 6 1
direct
0.3058 0.3037 0.6374 Cs
0.3037 0.6374 0.3058 Cs
0.6374 0.3058 0.3037 Cs
0.6942 0.6963 0.3626 Cs
0.6963 0.3626 0.6942 Cs
0.3626 0.6942 0.6963 Cs
0.0218 0.0208 0.7217 Cs
0.2783 0.9782 0.9792 Cs
0.9792 0.2783 0.9782 Cs
0.9782 0.9792 0.2783 Cs
0.7217 0.0218 0.0208 Cs
0.0208 0.7217 0.0218 Cs
0.0331 0.3620 0.3615 Rb
0.6380 0.6385 0.9669 Rb
0.6385 0.9669 0.6380 Rb
0.9669 0.6380 0.6385 Rb
0.3620 0.3615 0.0331 Rb
0.3615 0.0331 0.3620 Rb
0.0000 0.0000 0.0000 S

PBE CaAlSeO5, relaxed; D(E_F) = 2.47 states/eV per cell; magnetization = 0.9 μB/f.u.; space-group type = C2/c, No. 15; formation energy (no corrections) = -1.885 eV/atom; density = 3.8 g cm⁻³
1.0
-0.5423 -5.3782 -1.3002
3.1482 1.7980 -4.2149
4.1326 0.3150 6.0082
Ca Al Se O
2 2 2 10
direct
0.3159 0.6841 0.2500 Ca
0.6841 0.3159 0.7500 Ca
0.0000 0.0000 0.5000 Al
0.0000 0.0000 0.0000 Al
0.7045 0.2955 0.2500 Se
0.2955 0.7045 0.7500 Se
0.0442 0.9558 0.2500 O
0.9558 0.0442 0.7500 O
0.9021 0.3202 0.0799 O
0.0979 0.6798 0.9201 O
0.6798 0.0979 0.4201 O
0.3202 0.9021 0.5799 O
0.7593 0.6150 0.4106 O
0.2407 0.3850 0.5894 O
0.3850 0.2407 0.0894 O
0.6150 0.7593 0.9106 O

PBE CrSbBr, relaxed; E above lowest polymorph = 85 meV/atom; D(E_F) = 1.12 states/eV per cell; magnetization = 0.0 μB/f.u.; space-group type = P3m1, No. 156; formation energy (no corrections) = 0.119 eV/atom; density = 5.8 g cm⁻³
1.0
-1.7754 2.0701 1.9115
1.1388 -2.8650 1.2593
6.3109 3.4451 2.1305
Br Cr Sb
1 1 1
direct
0.0000 0.0000 0.1112 Br
0.6667 0.3333 0.3145 Cr
0.3333 0.6667 0.5743 Sb

PBE KZnGa2Pd, relaxed; D(E_F) = 2.45 states/eV per cell; magnetization = 0.0 μB/f.u.; space-group type = P4/mmm, No. 123; density = 4.8 g cm⁻³; raw total energy = -14.46 eV/f.u.
1.0
4.9099 0.0000 0.0000
0.0000 4.9099 0.0000
0.0000 0.0000 5.0255
K Zn Ga Pd
1 1 2 1
direct
0.5000 0.5000 0.5000 K
0.0000 0.0000 0.5000 Zn
0.0000 0.5000 0.0000 Ga
0.5000 0.0000 0.0000 Ga
0.0000 0.0000 0.0000 Pd

PBE Ce2TiZn6, relaxed; D(E_F) = 12.49 states/eV per cell; magnetization = 1.9 μB/f.u.; space-group type = P6/mmm, No. 191; density = 7.1 g cm⁻³; raw total energy = -29.19 eV/f.u.
1.0
-0.9451 1.3322 2.5858
5.2204 -4.3377 4.1432
7.3492 2.7617 1.2636
Ce Ti Zn
2 1 6
direct
0.0000 0.3333 0.3333 Ce
0.0000 0.6667 0.6667 Ce
0.0000 0.0000 0.0000 Ti
0.4999 0.6848 0.0000 Zn
0.5001 0.0000 0.3152 Zn
0.5001 0.3152 0.0000 Zn
0.5000 0.6847 0.3153 Zn
0.4999 0.0000 0.6848 Zn
0.5000 0.3153 0.6847 Zn

PBE BaSrLa2, relaxed; E above lowest polymorph = 118 meV/atom; D(E_F) = 6.21 states/eV per cell; magnetization = 0.0 μB/f.u.; space-group type = Imm2, No. 44; density = 4.5 g cm⁻³
1.0
-6.3384 4.2138 -1.3442
-6.8802 -3.5116 0.2651
6.4912 2.1416 3.6077
Ba La Sr
1 2 1
direct
0.7613 0.2613 0.5000 Ba
0.0232 0.0232 0.0000 La
0.2282 0.7282 0.5000 La
0.4872 0.4872 0.0000 Sr

PBE AcY8Er5, relaxed; D(E_F) = 22.70 states/eV per cell; magnetization = 0.0 μB/f.u.; space-group type = I-4, No. 82; density = 6.3 g cm⁻³; raw total energy = -74.70 eV/f.u.
1.0
-6.1256 -5.0540 -2.9948
6.9877 -4.7476 0.8175
-2.2519 3.3211 7.4789
Ac Y Er
1 8 5
direct
0.2500 0.7500 0.5000 Ac
0.0086 0.7753 0.0956 Y
0.2247 0.3203 0.2333 Y
0.6011 0.8237 0.4150 Y
0.1763 0.5912 0.7774 Y
0.8138 0.3989 0.2226 Y
0.0870 0.9914 0.7667 Y
0.6797 0.9130 0.9044 Y
0.4088 0.1862 0.5850 Y
0.8708 0.2806 0.8158 Er
0.7194 0.5352 0.5902 Er
0.4648 0.0550 0.1842 Er
0.5000 0.5000 0.0000 Er
0.9450 0.1292 0.4098 Er

PBE Hf2ScTi3N6, relaxed; D(E_F) = 4.06 states/eV per cell; magnetization = 0.0 μB/f.u.; space-group type = C2/m, No. 12; formation energy (no corrections) = -1.769 eV/atom; density = 8.2 g cm⁻³
1.0
3.1103 0.0000 0.0000
0.0000 6.2111 0.2442
-1.5551 -1.7692 6.5311
Hf Sc Ti N
2 1 3 6
direct
0.8352 0.6697 0.6703 Hf
0.1648 0.3303 0.3297 Hf
0.5000 0.0000 0.0000 Sc
0.5000 0.5000 0.0000 Ti
0.8361 0.1686 0.6723 Ti
0.1639 0.8314 0.3277 Ti
0.3309 0.9214 0.6617 N
0.6651 0.5872 0.3301 N
0.6691 0.0786 0.3383 N
0.9985 0.2560 0.9969 N
0.0015 0.7440 0.0031 N
0.3349 0.4128 0.6699 N

PBE Mn2GaN, relaxed; D(E_F) = 6.42 states/eV per cell; magnetization = 0.0 μB/f.u.; space-group type = Fm-3m, No. 225; formation energy (no corrections) = 0.996 eV/atom; density = 7.5 g cm⁻³
1.0
0.0000 2.7774 2.7774
2.7774 0.0000 2.7774
2.7774 2.7774 0.0000
Mn Ga N
2 1 1
direct
0.2500 0.2500 0.2500 Mn
0.7500 0.7500 0.7500 Mn
0.5000 0.5000 0.5000 Ga
0.0000 0.0000 0.0000 N